Compound: SnTeRh2Br
Source: the Alexandria database
Functional: GGA-PBE
Structure: relaxed

Values from the calculation:
electronic total energy = -3.94 eV/atom
spin magnetization = 0.000 μB/cell
crystal system = tetragonal

Structure (CIF):
```
data_SnTeRh2Br
_chemical_formula_sum 'Sn1 Te1 Rh2 Br1'
_cell_length_a 4.693
_cell_length_b 4.693
_cell_length_c 5.639
_cell_angle_alpha 90.00
_cell_angle_beta 90.00
_cell_angle_gamma 90.00
_symmetry_space_group_name_H-M 'P 4/m m m'
_symmetry_Int_Tables_number 123
_symmetry_space_group_name_Hall '-P 4 2'
loop_
_atom_site_label
_atom_site_fract_x
_atom_site_fract_y
_atom_site_fract_z
Sn1 0.000 0.000 0.000
Te1 0.500 0.500 0.000
Rh1 0.000 0.500 0.500
Br1 0.000 0.000 0.500
```